## BW2BrN (GGA-PBE)

Data for a geometry-optimized BW2BrN structure.

Output
* M_tot: 0.000 μB per formula unit
* formation energy (no corrections): 3.408 eV/atom

Cell lengths 4.6352, 4.6352, 3.7949 Å; angles 90.00, 90.00, 90.00 degrees
Last column: nearest neighbours and their distance in Å.
Space group P4/mmm (No. 123)
Symmetry-distinct sites (fractional):
B: 0.0000 0.0000 0.0000  2 Br 1.90
W: 0.0000 0.5000 0.5000  2 Br 2.32
Br: 0.0000 0.0000 0.5000  2 B 1.90
N: 0.5000 0.5000 0.0000  8 W 3.00, 4 B 3.28



## SrNd2Pu (GGA-PBE)

Data for a geometry-optimized SrNd2Pu structure.

Output
* M_tot: 6.097 μB per formula unit
* formation enthalpy at 0 K: 0.181 eV per atom

Cell lengths 3.6846, 3.6846, 10.7251 Å; angles 90.00, 90.00, 90.00 degrees
Last column: nearest neighbours and their distance in Å.
Space group P4/mmm (No. 123)
Symmetry-distinct sites (fractional):
Sr: 0.0000 0.0000 0.0000  4 Sr 3.68, 8 Nd 4.00
Nd: 0.5000 0.5000 0.2828  4 Pu 3.49, 4 Nd 3.68
Pu: 0.0000 0.0000 0.5000  8 Nd 3.49, 4 Pu 3.68



## Tm2AsIr (GGA-PBE)

Data for a geometry-optimized Tm2AsIr structure.

Output
* M_tot: 0.000 μB per formula unit
* formation enthalpy at 0 K: -0.934 eV per atom

Cell lengths 4.0249, 4.0249, 19.7437 Å; angles 90.00, 90.00, 120.00 degrees
Last column: nearest neighbours and their distance in Å.
Space group R-3m (No. 166, hexagonal axes)
Symmetry-distinct sites (fractional):
Tm: 0.0000 0.0000 0.2475  3 Ir 2.82, 3 As 2.88
As: 0.0000 0.0000 0.0000  6 Tm 2.88
Ir: 0.0000 0.0000 0.5000  6 Tm 2.82